*A*
The following is a DFT calculation (GGA-PBE) of crystalline PmTaAs at its relaxed geometry.

The structure in POSCAR format:
```
PmTaAs
1.0
4.2151 -0.0867 1.9285
1.4986 3.6324 2.4605
0.4366 -0.3395 4.6030
Ta Pm As
1 1 1
Direct
0.7500 0.7500 0.7500 Ta
0.2500 0.2500 0.2500 Pm
0.0000 0.0000 0.0000 As
```

## Properties
crystal system = cubic
calculated density = 9.4 g cm⁻³

*B*
The following is a DFT calculation (GGA-PBE) of crystalline PmTaAs at its relaxed geometry.

The structure in POSCAR format:
```
PmTaAs
1.0
-1.7179 -3.4396 3.0690
-2.2407 1.3255 4.1741
-4.8507 -0.6483 0.5009
Pm Ta As
1 1 1
Direct
0.0000 0.0000 0.0000 Pm
0.7500 0.7500 0.7500 Ta
0.2500 0.2500 0.2500 As
```

## Properties
crystal system = cubic
calculated density = 7.9 g cm⁻³

Most stable pick: *A*. Distance to second place: 96.9 kJ/mol of atoms.

*A*
The following is a DFT calculation (GGA-PBE) of crystalline PmAsW at its relaxed geometry.

The structure in POSCAR format:
```
PmAsW
1.0
0.0000 3.4314 3.4314
3.4314 0.0000 3.4314
3.4314 3.4314 0.0000
W As Pm
1 1 1
Direct
0.7500 0.7500 0.7500 W
0.2500 0.2500 0.2500 As
0.0000 0.0000 0.0000 Pm
```

## Properties
crystal system = cubic
calculated density = 8.3 g cm⁻³

*B*
The following is a DFT calculation (GGA-PBE) of crystalline PmAsW at its relaxed geometry.

The structure in POSCAR format:
```
PmAsW
1.0
-1.9888 1.2960 3.9163
-3.1784 3.2969 -0.0275
-4.3879 -1.0429 0.7945
W As Pm
1 1 1
Direct
0.7500 0.7500 0.7500 W
0.0000 0.0000 0.0000 As
0.2500 0.2500 0.2500 Pm
```

## Properties
crystal system = cubic
calculated density = 9.9 g cm⁻³

Most stable pick: *B*. Distance to second place: 92.3 kJ/mol of atoms.

*A*
The following is a DFT calculation (GGA-PBE) of crystalline PmZrAs at its relaxed geometry.

The structure in POSCAR format:
```
PmZrAs
1.0
-3.0301 -2.7332 2.4195
-4.1478 -1.2375 -1.9416
-0.7430 -4.4873 -1.3485
Zr As Pm
1 1 1
Direct
0.7500 0.7500 0.7500 Zr
0.0000 0.0000 0.0000 As
0.2500 0.2500 0.2500 Pm
```

## Properties
crystal system = cubic
calculated density = 6.8 g cm⁻³

*B*
The following is a DFT calculation (GGA-PBE) of crystalline PmZrAs at its relaxed geometry.

The structure in POSCAR format:
```
PmZrAs
1.0
0.0000 3.5340 3.5340
3.5340 0.0000 3.5340
3.5340 3.5340 0.0000
Pm Zr As
1 1 1
Direct
0.0000 0.0000 0.0000 Pm
0.7500 0.7500 0.7500 Zr
0.2500 0.2500 0.2500 As
```

## Properties
crystal system = cubic
calculated density = 5.9 g cm⁻³

Most stable pick: *A*. Distance to second place: 101.7 kJ/mol of atoms.

*A*
The following is a DFT calculation (GGA-PBE) of crystalline PrReAs at its relaxed geometry.

The structure in POSCAR format:
```
PrReAs
1.0
0.0000 3.2646 3.2646
3.2646 0.0000 3.2646
3.2646 3.2646 0.0000
As Re Pr
1 1 1
Direct
0.0000 0.0000 0.0000 As
0.7500 0.7500 0.7500 Re
0.2500 0.2500 0.2500 Pr
```

## Properties
crystal system = cubic
calculated density = 9.6 g cm⁻³

*B*
The following is a DFT calculation (GGA-PBE) of crystalline PrReAs at its relaxed geometry.

The structure in POSCAR format:
```
PrReAs
1.0
0.0000 3.4150 3.4150
3.4150 0.0000 3.4150
3.4150 3.4150 0.0000
Pr As Re
1 1 1
Direct
0.0000 0.0000 0.0000 Pr
0.2500 0.2500 0.2500 As
0.7500 0.7500 0.7500 Re
```

## Properties
crystal system = cubic
calculated density = 8.4 g cm⁻³

Most stable pick: *A*. Distance to second place: 82.7 kJ/mol of atoms.

*A*
The following is a DFT calculation (GGA-PBE) of crystalline Pr3As2Se at its relaxed geometry.

The structure in POSCAR format:
```
Pr3As2Se
1.0
4.2941 0.0000 0.0000
-2.1471 3.7188 0.0000
0.0000 0.0000 10.5428
As Pr Se
2 3 1
Direct
0.3333 0.6667 0.8321 As
0.6667 0.3333 0.1679 As
0.0000 0.0000 0.0000 Pr
0.6667 0.3333 0.6762 Pr
0.3333 0.6667 0.3238 Pr
0.0000 0.0000 0.5000 Se
```

## Properties
crystal system = trigonal
calculated density = 6.4 g cm⁻³

*B*
The following is a DFT calculation (GGA-PBE) of crystalline Pr3As2Se at its relaxed geometry.

The structure in POSCAR format:
```
Pr3As2Se
1.0
3.2151 2.5023 6.2166
2.7523 6.9000 0.2448
-6.0044 -4.2357 -1.1182
Pr Se As
3 1 2
Direct
0.1716 0.6716 0.5000 Pr
0.5000 0.0000 0.5000 Pr
0.8284 0.3284 0.5000 Pr
0.0000 0.0000 0.0000 Se
0.3342 0.3342 0.0000 As
0.6658 0.6658 0.0000 As
```

## Properties
crystal system = orthorhombic
calculated density = 6.5 g cm⁻³

Most stable pick: *B*. Distance to second place: 0.5 kJ/mol of atoms.

*A*
The following is a DFT calculation (GGA-PBE) of crystalline Pr2AsSe at its relaxed geometry.

The structure in POSCAR format:
```
Pr2AsSe
1.0
-3.4793 1.2290 2.1700
2.6627 -1.6169 5.1852
3.2824 7.9123 0.7817
Pr As Se
4 2 2
Direct
0.0000 0.0000 0.3644 Pr
0.0000 0.0000 0.8826 Pr
0.5000 0.5000 0.1174 Pr
0.5000 0.5000 0.6356 Pr
0.0000 0.5000 0.8735 As
0.5000 0.0000 0.1265 As
0.5000 0.0000 0.6224 Se
0.0000 0.5000 0.3776 Se
```

## Properties
crystal system = orthorhombic
calculated density = 6.5 g cm⁻³

*B*
The following is a DFT calculation (GGA-PBE) of crystalline Pr2AsSe at its relaxed geometry.

The structure in POSCAR format:
```
Pr2AsSe
1.0
4.2813 0.0000 0.0000
0.0000 4.2813 0.0000
0.0000 0.0000 6.0456
As Pr Se
1 2 1
Direct
0.5000 0.5000 0.0000 As
0.5000 0.5000 0.5000 Pr
0.0000 0.0000 0.0000 Pr
0.0000 0.0000 0.5000 Se
```

## Properties
crystal system = tetragonal
calculated density = 6.5 g cm⁻³

Most stable pick: *A*. Distance to second place: 0.6 kJ/mol of atoms.

*A*
The following is a DFT calculation (GGA-PBE) of crystalline PrTcAs at its relaxed geometry.

The structure in POSCAR format:
```
PrTcAs
1.0
0.0000 3.4044 3.4044
3.4044 0.0000 3.4044
3.4044 3.4044 0.0000
Pr As Tc
1 1 1
Direct
0.2500 0.2500 0.2500 Pr
0.5000 0.5000 0.5000 As
0.0000 0.0000 0.0000 Tc
```

## Properties
crystal system = cubic
calculated density = 6.6 g cm⁻³

*B*
The following is a DFT calculation (GGA-PBE) of crystalline PrTcAs at its relaxed geometry.

The structure in POSCAR format:
```
PrTcAs
1.0
0.0000 3.2793 3.2793
3.2793 0.0000 3.2793
3.2793 3.2793 0.0000
Pr Tc As
1 1 1
Direct
0.2500 0.2500 0.2500 Pr
0.7500 0.7500 0.7500 Tc
0.0000 0.0000 0.0000 As
```

## Properties
crystal system = cubic
calculated density = 7.4 g cm⁻³

Most stable pick: *B*. Distance to second place: 83.6 kJ/mol of atoms.

*A*
The following is a DFT calculation (GGA-PBE) of crystalline Pr3TeAs2 at its relaxed geometry.

The structure in POSCAR format:
```
Pr3TeAs2
1.0
-2.1773 3.1071 6.5978
2.1773 -3.1071 6.5978
2.1773 3.1071 -6.5978
Pr Te As
3 1 2
Direct
0.6811 0.1811 0.5000 Pr
0.3189 0.8189 0.5000 Pr
0.0000 0.5000 0.5000 Pr
0.5000 0.5000 0.0000 Te
0.1634 0.1634 0.0000 As
0.8366 0.8366 0.0000 As
```

## Properties
crystal system = orthorhombic
calculated density = 6.5 g cm⁻³

*B*
The following is a DFT calculation (GGA-PBE) of crystalline Pr3TeAs2 at its relaxed geometry.

The structure in POSCAR format:
```
Pr3TeAs2
1.0
4.3576 0.0000 0.0000
-2.1788 3.7738 0.0000
0.0000 0.0000 10.8745
Te Pr As
1 3 2
Direct
0.0000 0.0000 0.5000 Te
0.3333 0.6667 0.3076 Pr
0.6667 0.3333 0.6924 Pr
0.0000 0.0000 0.0000 Pr
0.3333 0.6667 0.8391 As
0.6667 0.3333 0.1609 As
```

## Properties
crystal system = trigonal
calculated density = 6.5 g cm⁻³

Most stable pick: *B*. Distance to second place: 2.4 kJ/mol of atoms.

*A*
The following is a DFT calculation (GGA-PBE) of crystalline AsPt9 at its relaxed geometry.

The structure in POSCAR format:
```
AsPt9
1.0
2.8262 0.0000 0.0000
0.0000 2.8262 0.0000
0.0000 0.0000 47.7853
Pt As
18 2
Direct
0.5000 0.5000 0.6024 Pt
0.0000 0.0000 0.1489 Pt
0.0000 0.0000 0.2336 Pt
0.5000 0.5000 0.4386 Pt
0.0000 0.0000 0.3976 Pt
0.0000 0.0000 0.5614 Pt
0.5000 0.5000 0.6844 Pt
0.5000 0.5000 0.1920 Pt
0.5000 0.5000 0.8511 Pt
0.0000 0.0000 0.3156 Pt
0.5000 0.5000 0.3566 Pt
0.0000 0.0000 0.8080 Pt
0.0000 0.0000 0.4795 Pt
0.0000 0.0000 0.6434 Pt
0.5000 0.5000 0.7664 Pt
0.5000 0.5000 0.5205 Pt
0.5000 0.5000 0.2748 Pt
0.0000 0.0000 0.7252 Pt
0.0000 0.0000 0.8863 As
0.5000 0.5000 0.1136 As
```

## Properties
crystal system = tetragonal
calculated density = 15.9 g cm⁻³

*B*
The following is a DFT calculation (GGA-PBE) of crystalline AsPt9 at its relaxed geometry.

The structure in POSCAR format:
```
AsPt9
1.0
2.8407 0.0000 0.0000
0.0000 3.8791 0.0000
0.0000 0.0000 40.5315
Pt As
18 2
Direct
0.0000 0.0000 0.2258 Pt
0.5000 0.5000 0.8439 Pt
0.5000 0.5000 0.7012 Pt
0.0000 0.0000 0.8089 Pt
0.0000 0.0000 0.8789 Pt
0.5000 0.5000 0.1911 Pt
0.0000 0.0000 0.0174 Pt
0.0000 0.0000 0.2988 Pt
0.5000 0.5000 0.9134 Pt
0.5000 0.5000 0.7742 Pt
0.0000 0.0000 0.1561 Pt
0.0000 0.0000 0.9480 Pt
0.5000 0.5000 0.0520 Pt
0.0000 0.0000 0.7389 Pt
0.5000 0.5000 0.1211 Pt
0.0000 0.0000 0.0866 Pt
0.5000 0.5000 0.9826 Pt
0.5000 0.5000 0.2611 Pt
0.0000 0.0000 0.6750 As
0.5000 0.5000 0.3250 As
```

## Properties
crystal system = orthorhombic
calculated density = 13.6 g cm⁻³

Most stable pick: *B*. Distance to second place: 2.3 kJ/mol of atoms.

*A*
The following is a DFT calculation (GGA-PBE) of crystalline PuThAs at its relaxed geometry.

The structure in POSCAR format:
```
PuThAs
1.0
1.4055 -4.3052 -1.9938
-1.7919 -1.3923 -4.3973
2.9493 -0.0408 -3.9730
Th As Pu
1 1 1
Direct
0.7500 0.7500 0.7500 Th
0.0000 0.0000 0.0000 As
0.2500 0.2500 0.2500 Pu
```

## Properties
crystal system = cubic
calculated density = 10.7 g cm⁻³

*B*
The following is a DFT calculation (GGA-PBE) of crystalline PuThAs at its relaxed geometry.

The structure in POSCAR format:
```
PuThAs
1.0
0.9935 -4.4548 1.6047
-2.3565 -3.8105 -1.8260
2.3224 -3.1385 -2.8572
Pu As Th
1 1 1
Direct
0.0000 0.0000 0.0000 Pu
0.5000 0.5000 0.5000 As
0.2500 0.2500 0.2500 Th
```

## Properties
crystal system = cubic
calculated density = 11.4 g cm⁻³

Most stable pick: *A*. Distance to second place: 65.7 kJ/mol of atoms.

*A*
The following is a DFT calculation (GGA-PBE) of crystalline Rb2As2W at its relaxed geometry.

The structure in POSCAR format:
```
Rb2As2W
1.0
-3.8421 7.0652 3.1082
3.8421 -7.0652 3.1082
3.8421 7.0652 -3.1082
W As Rb
2 4 4
Direct
0.2500 0.2500 0.0000 W
0.7500 0.7500 0.0000 W
0.0963 0.8226 0.9189 As
0.9037 0.1774 0.0811 As
0.5963 0.6774 0.2736 As
0.4037 0.3226 0.7264 As
0.8486 0.6566 0.5052 Rb
0.6514 0.1566 0.8080 Rb
0.1514 0.3434 0.4949 Rb
0.3486 0.8434 0.1920 Rb
```

## Properties
crystal system = orthorhombic
calculated density = 5.0 g cm⁻³

*B*
The following is a DFT calculation (GGA-PBE) of crystalline Rb2As2W at its relaxed geometry.

The structure in POSCAR format:
```
Rb2As2W
1.0
3.7232 -7.7299 0.0000
3.7232 7.7299 0.0000
0.0000 0.0000 5.5037
As Rb W
4 4 2
Direct
0.1322 0.3117 0.2500 As
0.6883 0.8678 0.2500 As
0.8678 0.6883 0.7500 As
0.3117 0.1322 0.7500 As
0.2195 0.7805 0.2500 Rb
0.7805 0.2195 0.7500 Rb
0.4074 0.5926 0.7500 Rb
0.5926 0.4074 0.2500 Rb
0.0000 0.0000 0.0000 W
0.0000 0.0000 0.5000 W
```

## Properties
crystal system = orthorhombic
calculated density = 5.3 g cm⁻³

Most stable pick: *A*. Distance to second place: 23.2 kJ/mol of atoms.

*A*
The following is a DFT calculation (GGA-PBE) of crystalline TmReAs at its relaxed geometry.

The structure in POSCAR format:
```
TmReAs
1.0
0.0000 3.1262 3.1262
3.1262 0.0000 3.1262
3.1262 3.1262 0.0000
Tm As Re
1 1 1
Direct
0.7500 0.7500 0.7500 Tm
0.0000 0.0000 0.0000 As
0.2500 0.2500 0.2500 Re
```

## Properties
crystal system = cubic
calculated density = 11.7 g cm⁻³

*B*
The following is a DFT calculation (GGA-PBE) of crystalline TmReAs at its relaxed geometry.

The structure in POSCAR format:
```
TmReAs
1.0
-1.5603 -3.7713 -2.1067
-2.2639 -3.1985 2.3958
-4.5126 -0.5769 -0.6317
Tm As Re
1 1 1
Direct
0.0000 0.0000 0.0000 Tm
0.2500 0.2500 0.2500 As
0.7500 0.7500 0.7500 Re
```

## Properties
crystal system = cubic
calculated density = 10.4 g cm⁻³

Most stable pick: *A*. Distance to second place: 80.1 kJ/mol of atoms.

*A*
The following is a DFT calculation (GGA-PBE) of crystalline YReAs at its relaxed geometry.

The structure in POSCAR format:
```
YReAs
1.0
0.0000 3.2896 3.2896
3.2896 0.0000 3.2896
3.2896 3.2896 0.0000
Y Re As
1 1 1
Direct
0.0000 0.0000 0.0000 Y
0.7500 0.7500 0.7500 Re
0.2500 0.2500 0.2500 As
```

## Properties
crystal system = cubic
calculated density = 8.2 g cm⁻³

*B*
The following is a DFT calculation (GGA-PBE) of crystalline YReAs at its relaxed geometry.

The structure in POSCAR format:
```
YReAs
1.0
0.3313 -2.2014 3.8749
-2.8433 -3.3186 0.9347
1.4415 -4.2297 0.0507
Re As Y
1 1 1
Direct
0.2500 0.2500 0.2500 Re
0.0000 0.0000 0.0000 As
0.7500 0.7500 0.7500 Y
```

## Properties
crystal system = cubic
calculated density = 9.2 g cm⁻³

Most stable pick: *B*. Distance to second place: 84.3 kJ/mol of atoms.

*A*
The following is a DFT calculation (GGA-PBE) of crystalline Tb3As2S at its relaxed geometry.

The structure in POSCAR format:
```
Tb3As2S
1.0
4.0823 0.0000 0.0000
-2.0411 3.5354 0.0000
0.0000 0.0000 9.9285
As S Tb
2 1 3
Direct
0.3333 0.6667 0.3285 As
0.6667 0.3333 0.6715 As
0.0000 0.0000 0.0000 S
0.3333 0.6667 0.8356 Tb
0.0000 0.0000 0.5000 Tb
0.6667 0.3333 0.1644 Tb
```

## Properties
crystal system = trigonal
calculated density = 7.6 g cm⁻³

*B*
The following is a DFT calculation (GGA-PBE) of crystalline Tb3As2S at its relaxed geometry.

The structure in POSCAR format:
```
Tb3As2S
1.0
-2.0407 2.8790 6.0967
2.0407 -2.8790 6.0967
2.0407 2.8790 -6.0967
Tb As S
3 2 1
Direct
0.8341 0.3341 0.5000 Tb
0.1659 0.6659 0.5000 Tb
0.5000 0.0000 0.5000 Tb
0.6671 0.6671 0.0000 As
0.3329 0.3329 0.0000 As
0.0000 0.0000 0.0000 S
```

## Properties
crystal system = orthorhombic
calculated density = 7.6 g cm⁻³

Most stable pick: *B*. Distance to second place: 1.1 kJ/mol of atoms.